Computed, not measured: Er5Tm2Sc5 after structural relaxation at the GGA-PBE level of DFT.

Unit cell a=5.3837 b=8.7565 c=8.4302 alpha=65.77 beta=71.38 gamma=72.10
Fractional positions:
Er (0.8203, 0.8598, 0.4996)
Er (0.2650, 0.6992, 0.7709)
Er (0.7350, 0.3008, 0.2291)
Er (0.1797, 0.1402, 0.5004)
Er (0.0000, 0.0000, 0.0000)
Tm (0.9080, 0.4253, 0.7587)
Tm (0.0920, 0.5747, 0.2413)
Sc (0.5000, 0.5000, 0.5000)
Sc (0.3476, 0.2760, 0.0288)
Sc (0.4303, 0.8733, 0.2661)
Sc (0.5697, 0.1267, 0.7339)
Sc (0.6524, 0.7240, 0.9712)

magnetic moment: 0.00 μB/cell
space-group type: No. 12
calculated formation energy: 0.084 eV per atom
crystal system: monoclinic
VASP energy: -62.41 eV per formula unit
ρ: 6.909 g/cm3